An optimized crystal structure of LaTaZn2, computed with PBE.

The structure belongs to space group P4/mmm (No. 123); the cell edges are 4.4317, 4.4317 and 4.1927 Å and the angles 90.00°, 90.00° and 90.00°. The distinct sites, in fractional coordinates, are La at (0.0000, 0.0000, 0.0000), Ta at (0.5000, 0.5000, 0.0000) and Zn at (0.0000, 0.5000, 0.5000).

Its total magnetic moment is 0.003 μB/f.u. The volume is 82.3 Å³ per cell. For the density of states at the Fermi level, the calculation gives 4.24 states/eV/cell. Its total energy is -0.3345 Ry/atom. The energy relative to the lowest polymorph listed for this composition comes out at 1.02 eV/f.u.

***

An optimized crystal structure of LaTaZn2, computed with PBE.

The structure belongs to space group I4/mmm (No. 139); the cell edges are 4.4706, 4.4706 and 8.1790 Å and the angles 90.00°, 90.00° and 90.00°. The distinct sites, in fractional coordinates, are La at (0.0000, 0.0000, 0.0000), Ta at (0.0000, 0.0000, 0.5000) and Zn at (0.0000, 0.5000, 0.2500).

Its total magnetic moment is 0.001 μB/f.u. The volume is 163.5 Å³ per cell. For the density of states at the Fermi level, the calculation gives 9.76 states/eV/cell. Its total energy is -0.3397 Ry/atom. The energy relative to the lowest polymorph listed for this composition comes out at 0.74 eV/f.u.

***

An optimized crystal structure of LaTaZn2, computed with PBE.

The structure belongs to space group C2/m (No. 12); the cell edges are 6.1125, 8.4907 and 3.0487 Å and the angles 90.00°, 90.13° and 90.00°. The distinct sites, in fractional coordinates, are La at (0.0000, 0.0000, 0.0000), Ta at (0.0000, 0.5000, 0.0000) and Zn at (0.2500, 0.2500, 0.5000).

Its total magnetic moment is 0.000 μB/f.u. The volume is 158.2 Å³ per cell. For the density of states at the Fermi level, the calculation gives 5.06 states/eV/cell. Its total energy is -0.3423 Ry/atom. The energy relative to the lowest polymorph listed for this composition comes out at 0.60 eV/f.u.

***

An optimized crystal structure of LaTaZn2, computed with PBE.

The structure belongs to space group F-43m (No. 216); the cell edges are 6.9379, 6.9379 and 6.9379 Å and the angles 90.00°, 90.00° and 90.00°. The distinct sites, in fractional coordinates, are La at (0.0000, 0.0000, 0.0000), Ta at (0.2500, 0.2500, 0.2500), Zn at (0.0000, 0.0000, 0.5000) and Zn at (0.2500, 0.2500, 0.7500).

Its total magnetic moment is 1.920 μB/f.u. The volume is 334.0 Å³ per cell. For the density of states at the Fermi level, the calculation gives 17.81 states/eV/cell. Its total energy is -0.3142 Ry/atom. The energy relative to the lowest polymorph listed for this composition comes out at 2.13 eV/f.u.

***

An optimized crystal structure of LaTaZn2, computed with PBE.

The structure belongs to space group R3m (No. 160, hexagonal axes); the cell edges are 3.1180, 3.1180 and 29.3602 Å and the angles 90.00°, 90.00° and 120.00°. The distinct sites, in fractional coordinates, are La at (0.0000, 0.0000, 0.0000), Ta at (0.0000, 0.0000, 0.2381), Zn at (0.0000, 0.0000, 0.4970) and Zn at (0.0000, 0.0000, 0.7615).

Its total magnetic moment is 0.000 μB/f.u. The volume is 247.2 Å³ per cell. For the density of states at the Fermi level, the calculation gives 11.70 states/eV/cell. Its total energy is -0.3300 Ry/atom. The energy relative to the lowest polymorph listed for this composition comes out at 1.27 eV/f.u.

***

An optimized crystal structure of LaTaZn2, computed with PBE.

The structure belongs to space group P4/mmm (No. 123); the cell edges are 3.0311, 3.0311 and 8.5810 Å and the angles 90.00°, 90.00° and 90.00°. The distinct sites, in fractional coordinates, are La at (0.0000, 0.0000, 0.0000), Ta at (0.0000, 0.0000, 0.5000) and Zn at (0.5000, 0.5000, 0.2849).

Its total magnetic moment is 0.000 μB/f.u. The volume is 78.8 Å³ per cell. For the density of states at the Fermi level, the calculation gives 3.28 states/eV/cell. Its total energy is -0.3533 Ry/atom. The energy relative to the lowest polymorph listed for this composition comes out at 0.00 eV/f.u.

***

An optimized crystal structure of LaTaZn2, computed with PBE.

The structure belongs to space group Pmmm (No. 47); the cell edges are 3.0359, 3.8985 and 6.8754 Å and the angles 90.00°, 90.00° and 90.00°. The distinct sites, in fractional coordinates, are La at (0.0000, 0.0000, 0.0000), Ta at (0.0000, 0.0000, 0.5000) and Zn at (0.5000, 0.5000, 0.3047).

Its total magnetic moment is 0.000 μB/f.u. The volume is 81.4 Å³ per cell. For the density of states at the Fermi level, the calculation gives 2.62 states/eV/cell. Its total energy is -0.3527 Ry/atom. The energy relative to the lowest polymorph listed for this composition comes out at 0.03 eV/f.u.

***

An optimized crystal structure of LaZrTaZn2, computed with PBE.

The structure belongs to space group P4/mmm (No. 123); the cell edges are 5.1244, 5.1244 and 5.1512 Å and the angles 90.00°, 90.00° and 90.00°. The distinct sites, in fractional coordinates, are La at (0.0000, 0.0000, 0.0000), Zr at (0.5000, 0.5000, 0.5000), Ta at (0.0000, 0.0000, 0.5000) and Zn at (0.0000, 0.5000, 0.0000).

Its total magnetic moment is 0.000 μB/f.u. The volume is 135.3 Å³ per cell. For the density of states at the Fermi level, the calculation gives 6.06 states/eV/cell. Its total energy is -0.2943 Ry/atom.

***

An optimized crystal structure of La2ZrTa, computed with PBE.

The structure belongs to space group Cmmm (No. 65); the cell edges are 6.3610, 10.3782 and 3.1690 Å and the angles 90.00°, 90.00° and 90.00°. The distinct sites, in fractional coordinates, are La at (0.2500, 0.2500, 0.0000), Zr at (0.0000, 0.0000, 0.5000) and Ta at (0.0000, 0.5000, 0.5000).

Its total magnetic moment is 0.000 μB/f.u. The volume is 209.2 Å³ per cell. For the density of states at the Fermi level, the calculation gives 9.72 states/eV/cell. Its total energy is -0.5230 Ry/atom. The energy relative to the lowest polymorph listed for this composition comes out at 0.82 eV/f.u.

***

An optimized crystal structure of La2ZrTa, computed with PBE.

The structure belongs to space group C2/m (No. 12); the cell edges are 12.7937, 3.2743 and 5.4907 Å and the angles 90.00°, 115.27° and 90.00°. The distinct sites, in fractional coordinates, are La at (0.2324, 0.0000, 0.2319), Zr at (0.0000, 0.0000, 0.5000) and Ta at (0.0000, 0.5000, 0.0000).

Its total magnetic moment is 0.000 μB/f.u. The volume is 208.0 Å³ per cell. For the density of states at the Fermi level, the calculation gives 10.71 states/eV/cell. Its total energy is -0.5217 Ry/atom. The energy relative to the lowest polymorph listed for this composition comes out at 0.90 eV/f.u.

***

An optimized crystal structure of LaZr2Ta, computed with PBE.

The structure belongs to space group Pmmm (No. 47); the cell edges are 3.1704, 4.5536 and 6.7166 Å and the angles 90.00°, 90.00° and 90.00°. The distinct sites, in fractional coordinates, are La at (0.0000, 0.0000, 0.0000), Zr at (0.5000, 0.5000, 0.2854) and Ta at (0.0000, 0.0000, 0.5000).

Its total magnetic moment is 0.000 μB/f.u. The volume is 97.0 Å³ per cell. For the density of states at the Fermi level, the calculation gives 5.07 states/eV/cell. Its total energy is -0.6010 Ry/atom.

***

An optimized crystal structure of LaZrTa, computed with PBE.

The structure belongs to space group Imm2 (No. 44); the cell edges are 3.0806, 4.8890 and 9.5227 Å and the angles 90.00°, 90.00° and 90.00°. The distinct sites, in fractional coordinates, are La at (0.0000, 0.0000, 0.0000), Zr at (0.0000, 0.0000, 0.3183) and Ta at (0.0000, 0.0000, 0.6718).

Its total magnetic moment is 0.000 μB/f.u. The volume is 143.4 Å³ per cell. For the density of states at the Fermi level, the calculation gives 7.07 states/eV/cell. Its total energy is -0.5895 Ry/atom. The energy relative to the lowest polymorph listed for this composition comes out at 0.29 eV/f.u.

***

An optimized crystal structure of LaZr2Ta, computed with PBE.

The structure belongs to space group Cmmm (No. 65); the cell edges are 3.4685, 5.1391 and 10.7286 Å and the angles 90.00°, 90.00° and 90.00°. The distinct sites, in fractional coordinates, are La at (0.0000, 0.0000, 0.0000), Zr at (0.0000, 0.5000, 0.2848) and Ta at (0.0000, 0.0000, 0.5000).

Its total magnetic moment is 0.000 μB/f.u. The volume is 191.2 Å³ per cell. For the density of states at the Fermi level, the calculation gives 12.88 states/eV/cell. Its total energy is -0.6054 Ry/atom.

***

An optimized crystal structure of LaZr2Ta, computed with PBE.

The structure belongs to space group Pmmm (No. 47); the cell edges are 3.5760, 5.1043 and 5.1124 Å and the angles 90.00°, 90.00° and 90.00°. The distinct sites, in fractional coordinates, are La at (0.0000, 0.0000, 0.0000), Zr at (0.0000, 0.5000, 0.5000), Zr at (0.5000, 0.5000, 0.0000) and Ta at (0.5000, 0.0000, 0.5000).

Its total magnetic moment is 0.000 μB/f.u. The volume is 93.3 Å³ per cell. For the density of states at the Fermi level, the calculation gives 5.68 states/eV/cell. Its total energy is -0.5925 Ry/atom.

***

An optimized crystal structure of LaZr2Ta, computed with PBE.

The structure belongs to space group Cm (No. 8); the cell edges are 10.4983, 3.1250 and 5.9824 Å and the angles 90.00°, 94.86° and 90.00°. The distinct sites, in fractional coordinates, are La at (0.0000, 0.0000, 0.0000), Zr at (0.0095, 0.5000, 0.5154), Zr at (0.2682, 0.5000, 0.2914) and Ta at (0.2453, 0.0000, 0.7177).

Its total magnetic moment is 0.000 μB/f.u. The volume is 195.6 Å³ per cell. For the density of states at the Fermi level, the calculation gives 11.35 states/eV/cell. Its total energy is -0.5990 Ry/atom.

***

An optimized crystal structure of LaZrTa, computed with PBE.

The structure belongs to space group P3m1 (No. 156); the cell edges are 5.0819, 5.0819 and 3.2006 Å and the angles 90.00°, 90.00° and 120.00°. The distinct sites, in fractional coordinates, are La at (0.0000, 0.0000, 0.0000), Zr at (0.3333, 0.6667, 0.6114) and Ta at (0.6667, 0.3333, 0.3620).

Its total magnetic moment is 0.000 μB/f.u. The volume is 71.6 Å³ per cell. For the density of states at the Fermi level, the calculation gives 4.32 states/eV/cell. Its total energy is -0.5894 Ry/atom. The energy relative to the lowest polymorph listed for this composition comes out at 0.30 eV/f.u.

***

An optimized crystal structure of La2ZrTa, computed with PBE.

The structure belongs to space group Cmmm (No. 65); the cell edges are 3.2325, 5.5086 and 11.5052 Å and the angles 90.00°, 90.00° and 90.00°. The distinct sites, in fractional coordinates, are La at (0.0000, 0.0000, 0.2346), Zr at (0.0000, 0.5000, 0.5000) and Ta at (0.0000, 0.5000, 0.0000).

Its total magnetic moment is 0.000 μB/f.u. The volume is 204.9 Å³ per cell. For the density of states at the Fermi level, the calculation gives 12.99 states/eV/cell. Its total energy is -0.5205 Ry/atom. The energy relative to the lowest polymorph listed for this composition comes out at 0.96 eV/f.u.

***

An optimized crystal structure of La3ZrTa, computed with PBE.

The structure belongs to space group Pm-3m (No. 221); the cell edges are 5.5555, 5.5555 and 5.5555 Å and the angles 90.00°, 90.00° and 90.00°. The distinct sites, in fractional coordinates, are La at (0.0000, 0.0000, 0.5000), Zr at (0.0000, 0.0000, 0.0000) and Ta at (0.5000, 0.5000, 0.5000).

Its total magnetic moment is 0.000 μB/f.u. The volume is 171.5 Å³ per cell. For the density of states at the Fermi level, the calculation gives 18.75 states/eV/cell. Its total energy is -0.4213 Ry/atom. The energy relative to the lowest polymorph listed for this composition comes out at 2.13 eV/f.u.

***

An optimized crystal structure of LaZr2Ta, computed with PBE.

The structure belongs to space group C2/m (No. 12); the cell edges are 10.4294, 3.1341 and 5.9948 Å and the angles 90.00°, 95.99° and 90.00°. The distinct sites, in fractional coordinates, are La at (0.0000, 0.0000, 0.0000), Zr at (0.2346, 0.0000, 0.7157) and Ta at (0.0000, 0.5000, 0.5000).

Its total magnetic moment is 0.000 μB/f.u. The volume is 194.9 Å³ per cell. For the density of states at the Fermi level, the calculation gives 9.84 states/eV/cell. Its total energy is -0.6017 Ry/atom.

***

An optimized crystal structure of LaZr2Ta, computed with PBE.

The structure belongs to space group P4/mmm (No. 123); the cell edges are 4.6553, 4.6553 and 4.4030 Å and the angles 90.00°, 90.00° and 90.00°. The distinct sites, in fractional coordinates, are La at (0.0000, 0.0000, 0.0000), Zr at (0.0000, 0.5000, 0.5000) and Ta at (0.5000, 0.5000, 0.0000).

Its total magnetic moment is 0.000 μB/f.u. The volume is 95.4 Å³ per cell. For the density of states at the Fermi level, the calculation gives 4.98 states/eV/cell. Its total energy is -0.5932 Ry/atom.

***

Number 1: ΔH_f (0 K) 0.28 eV per atom. Number 2: ΔH_f (0 K) 0.21 eV per atom. Number 3: ΔH_f (0 K) 0.17 eV per atom. Number 4: ΔH_f (0 K) 0.56 eV per atom. Number 5: ΔH_f (0 K) 0.34 eV per atom. Number 6: ΔH_f (0 K) 0.02 eV per atom. Number 7: ΔH_f (0 K) 0.03 eV per atom. Number 8: ΔH_f (0 K) 1.57 eV per atom. Number 9: ΔH_f (0 K) 0.45 eV per atom. Number 10: ΔH_f (0 K) 0.47 eV per atom. Number 11: ΔH_f (0 K) 0.29 eV per atom. Number 12: ΔH_f (0 K) 0.42 eV per atom. Number 13: ΔH_f (0 K) 0.23 eV per atom. Number 14: ΔH_f (0 K) 0.41 eV per atom. Number 15: ΔH_f (0 K) 0.32 eV per atom. Number 16: ΔH_f (0 K) 0.42 eV per atom. Number 17: ΔH_f (0 K) 0.48 eV per atom. Number 18: ΔH_f (0 K) 1.30 eV per atom. Number 19: ΔH_f (0 K) 0.28 eV per atom. Number 20: ΔH_f (0 K) 0.40 eV per atom.